RbNdB4: relaxed, PBE.

Geometry as POSCAR:
```
RbNdB4
1.0
-3.156 -0.679 -0.403
2.254 -2.189 -0.841
-0.318 -3.652 8.647
Nd B Rb
1 4 1
Cartesian
-0.159 -1.826 4.323
-1.442 -2.207 1.878
-1.581 -3.809 5.671
0.222 -4.312 5.525
0.362 -2.710 1.732
0.000 0.000 0.000
```

The calculation puts the total DFT energy (no corrections) at -5.1787 eV/atom. The space group is P6/mmm, No. 191. The value obtained for the spin magnetization is 0.0 Bohr magnetons per cell.

***

HfTl4Te4: relaxed, PBE.

Geometry as POSCAR:
```
HfTl4Te4
1.0
-7.359 4.249 4.755
0.000 -8.498 4.755
7.359 4.249 4.755
Tl Te Hf
12 12 3
Cartesian
4.035 -5.049 8.452
-1.241 -3.583 8.400
-3.723 -0.717 5.867
-2.355 -6.019 5.814
-6.390 -0.970 8.452
3.723 0.717 8.400
-2.482 2.866 8.400
2.482 -2.866 5.867
1.241 3.583 5.867
6.390 0.970 5.814
-4.035 5.049 5.814
2.355 6.019 8.452
-0.752 6.090 7.325
0.761 2.210 8.894
5.650 -2.393 7.325
1.533 -1.764 8.894
-0.761 -2.210 5.372
4.898 3.697 6.941
-4.898 -3.697 7.325
-1.533 1.764 5.372
-2.294 -0.445 8.894
-5.650 2.393 6.941
2.294 0.445 5.372
0.752 -6.090 6.941
0.000 0.000 7.133
0.000 0.000 10.754
0.000 0.000 3.512
```

The calculation puts the total DFT energy (no corrections) at -4.0347 eV/atom. The space group is R-3, No. 148. The value obtained for the spin magnetization is 0.0 Bohr magnetons per cell.

***

CsNbAgTe2S: relaxed, PBE.

Geometry as POSCAR:
```
CsNbAgTe2S
1.0
2.030 -8.665 0.000
2.030 8.665 0.000
0.000 0.000 10.288
Te Cs Ag S Nb
4 2 2 2 2
Cartesian
2.030 6.636 10.000
2.030 -6.636 0.288
2.030 -6.636 4.856
2.030 6.636 5.432
2.030 -4.374 7.716
2.030 4.374 2.572
2.030 -8.085 2.572
2.030 8.085 7.716
2.030 -0.877 2.572
2.030 0.877 7.716
2.030 0.000 5.144
2.030 0.000 0.000
```

The calculation puts the total DFT energy (no corrections) at -4.5015 eV/atom. The space group is Cmcm, No. 63. The value obtained for the spin magnetization is 1.6 Bohr magnetons per cell.

***

NpBi: relaxed, PBE.

Geometry as POSCAR:
```
NpBi
1.0
3.520 0.000 0.000
-1.760 3.048 0.000
0.000 0.000 5.264
Np Bi
1 1
Cartesian
0.000 2.032 1.316
1.760 1.016 3.948
```

The calculation puts the total DFT energy (no corrections) at -8.2480 eV/atom. The space group is P-6m2, No. 187. The value obtained for the spin magnetization is 4.8 Bohr magnetons per cell.

***

ScGaTc: relaxed, PBE.

Geometry as POSCAR:
```
ScGaTc
1.0
2.028 0.616 3.801
-1.196 3.280 2.598
-2.076 -0.827 3.734
Ga Tc Sc
1 1 1
Cartesian
-0.311 0.767 2.533
0.000 0.000 0.000
-0.933 2.302 7.599
```

The calculation puts the total DFT energy (no corrections) at -6.4536 eV/atom. The space group is F-43m, No. 216. The value obtained for the spin magnetization is 0.4 Bohr magnetons per cell.

***

PrMoAu: relaxed, PBE.

Geometry as POSCAR:
```
PrMoAu
1.0
-3.656 -1.869 2.565
-4.205 -1.024 -2.171
-1.319 -4.610 -0.670
Mo Au Pr
1 1 1
Cartesian
-6.885 -5.627 -0.207
-2.295 -1.876 -0.069
0.000 0.000 0.000
```

The calculation puts the total DFT energy (no corrections) at -5.2903 eV/atom. The energy of formation comes out at 1.006 eV/atom. The space group is F-43m, No. 216. The value obtained for the spin magnetization is 3.1 Bohr magnetons per cell.

***

FeReSiPt: relaxed, PBE.

Geometry as POSCAR:
```
FeReSiPt
1.0
2.171 -3.524 1.095
-0.374 -1.603 3.952
-2.081 -3.689 0.626
Pt Fe Si Re
1 1 1 1
Cartesian
-0.071 -2.204 1.418
-0.213 -6.612 4.255
0.000 0.000 0.000
-0.142 -4.408 2.837
```

The calculation puts the total DFT energy (no corrections) at -7.7864 eV/atom. The space group is F-43m, No. 216. The value obtained for the spin magnetization is 2.6 Bohr magnetons per cell.

***

TcAsOsO: relaxed, PBE.

Geometry as POSCAR:
```
TcAsOsO
1.0
-4.522 -2.689 0.808
0.832 -0.294 3.680
-2.677 4.799 0.989
Os As O Tc
2 2 2 2
Cartesian
-2.297 3.225 0.777
-3.390 -0.215 0.750
-1.215 0.854 0.343
-4.830 1.940 1.248
-2.017 2.533 2.604
-3.500 -0.210 2.721
-3.844 3.340 3.082
-3.739 -2.248 2.612
```

The calculation puts the total DFT energy (no corrections) at -7.9385 eV/atom. The space group is Pmc2_1, No. 26. The value obtained for the spin magnetization is 0.0 Bohr magnetons per cell.